# 1
Entry from Alexandria: a geometry-optimized MnP structure (PBE).

Summary:
raw total energy	-7.6761	eV per atom
E_form	-0.39	eV per atom

CIF file:
```
data_MnP
_chemical_formula_sum 'Mn2 P2'
_cell_length_a 4.2034
_cell_length_b 4.2034
_cell_length_c 4.0730
_cell_angle_alpha 75.97
_cell_angle_beta 75.97
_cell_angle_gamma 39.44
_symmetry_space_group_name_H-M 'P 1'
_symmetry_Int_Tables_number 1
_symmetry_space_group_name_Hall 'P 1'
loop_
_atom_site_label
_atom_site_fract_x
_atom_site_fract_y
_atom_site_fract_z
P1 0.1214 0.1214 0.6818
P2 0.8786 0.8786 0.3182
Mn1 0.3857 0.3857 0.7956
Mn2 0.6143 0.6143 0.2044
```

# 2
Entry from Alexandria: a geometry-optimized MnP structure (PBE).

Summary:
raw total energy	-7.3897	eV per atom
E_form	-0.10	eV per atom

CIF file:
```
data_MnP
_chemical_formula_sum 'Mn2 P2'
_cell_length_a 5.2402
_cell_length_b 5.2402
_cell_length_c 5.2402
_cell_angle_alpha 42.32
_cell_angle_beta 42.32
_cell_angle_gamma 42.32
_symmetry_space_group_name_H-M 'P 1'
_symmetry_Int_Tables_number 1
_symmetry_space_group_name_Hall 'P 1'
loop_
_atom_site_label
_atom_site_fract_x
_atom_site_fract_y
_atom_site_fract_z
Mn1 0.1024 0.1024 0.1024
P1 0.2580 0.2580 0.2580
P2 0.7420 0.7420 0.7420
Mn2 0.8976 0.8976 0.8976
```

# 3
Entry from Alexandria: a geometry-optimized MnP structure (PBE).

Summary:
raw total energy	-7.1263	eV per atom
E_form	0.16	eV per atom

CIF file:
```
data_MnP
_chemical_formula_sum 'Mn4 P4'
_cell_length_a 3.8295
_cell_length_b 3.8295
_cell_length_c 9.5690
_cell_angle_alpha 90.00
_cell_angle_beta 90.00
_cell_angle_gamma 120.00
_symmetry_space_group_name_H-M 'P 1'
_symmetry_Int_Tables_number 1
_symmetry_space_group_name_Hall 'P 1'
loop_
_atom_site_label
_atom_site_fract_x
_atom_site_fract_y
_atom_site_fract_z
P1 0.3333 0.6667 0.1248
Mn1 0.0000 0.0000 0.2500
Mn2 0.0000 0.0000 0.7500
P2 0.6667 0.3333 0.8752
Mn3 0.6667 0.3333 0.2500
P3 0.6667 0.3333 0.6248
Mn4 0.3333 0.6667 0.7500
P4 0.3333 0.6667 0.3752
```

# 4
Entry from Alexandria: a geometry-optimized MnP2 structure (PBE).

Summary:
raw total energy	-6.7709	eV per atom
E_form	-0.11	eV per atom

CIF file:
```
data_MnP2
_chemical_formula_sum 'Mn4 P8'
_cell_length_a 2.9479
_cell_length_b 10.5271
_cell_length_c 5.0407
_cell_angle_alpha 90.00
_cell_angle_beta 90.00
_cell_angle_gamma 90.00
_symmetry_space_group_name_H-M 'P 1'
_symmetry_Int_Tables_number 1
_symmetry_space_group_name_Hall 'P 1'
loop_
_atom_site_label
_atom_site_fract_x
_atom_site_fract_y
_atom_site_fract_z
P1 0.0000 0.3540 0.6657
P2 0.5000 0.1460 0.6657
P3 0.5000 0.6460 0.1657
P4 0.5000 0.3540 0.1657
Mn1 0.0000 0.0000 0.4999
P5 0.5000 0.8540 0.6657
P6 0.0000 0.1460 0.1657
Mn2 0.0000 0.5000 0.9999
Mn3 0.5000 0.5000 0.4999
Mn4 0.5000 0.0000 0.9999
P7 0.0000 0.6460 0.6657
P8 0.0000 0.8540 0.1657
```

- Among the records above, which one has the highest E_form?
  number 3

What did the third record say?
Entry from Alexandria: a geometry-optimized MnP structure (PBE).

Summary:
raw total energy	-7.1263	eV per atom
E_form	0.16	eV per atom

CIF file:
```
data_MnP
_chemical_formula_sum 'Mn4 P4'
_cell_length_a 3.8295
_cell_length_b 3.8295
_cell_length_c 9.5690
_cell_angle_alpha 90.00
_cell_angle_beta 90.00
_cell_angle_gamma 120.00
_symmetry_space_group_name_H-M 'P 1'
_symmetry_Int_Tables_number 1
_symmetry_space_group_name_Hall 'P 1'
loop_
_atom_site_label
_atom_site_fract_x
_atom_site_fract_y
_atom_site_fract_z
P1 0.3333 0.6667 0.1248
Mn1 0.0000 0.0000 0.2500
Mn2 0.0000 0.0000 0.7500
P2 0.6667 0.3333 0.8752
Mn3 0.6667 0.3333 0.2500
P3 0.6667 0.3333 0.6248
Mn4 0.3333 0.6667 0.7500
P4 0.3333 0.6667 0.3752
```

- Look up the E_form of the second one.
  -0.10 eV per atom

- What is the E_form in the first record?
  -0.39 eV per atom